1.
MgSbPd2 (GGA-PBE, optimized geometry); energy relative to the lowest polymorph listed for this composition = 0.026 eV/atom; total DFT energy (no corrections) = -4.593 eV/atom; space group = P6_3/mmc (194)
1.0
-2.343 2.480 -2.963
-0.897 0.314 4.418
5.546 6.070 0.694
Mg Pd Sb
2 4 2
direct
0.000 0.000 0.000 Mg
0.000 0.000 0.500 Mg
0.667 0.333 0.084 Pd
0.667 0.333 0.416 Pd
0.333 0.667 0.584 Pd
0.333 0.667 0.916 Pd
0.333 0.667 0.250 Sb
0.667 0.333 0.750 Sb



2.
MgSbPd2 (GGA-PBE, optimized geometry); energy relative to the lowest polymorph listed for this composition = 0.044 eV/atom; total DFT energy (no corrections) = -4.575 eV/atom; space group = P6_3/mmc (194)
1.0
-0.231 4.112 1.820
-3.298 -1.457 -2.698
-4.072 -3.195 6.703
Mg Pd Sb
2 4 2
direct
0.333 0.667 0.250 Mg
0.667 0.333 0.750 Mg
0.667 0.333 0.084 Pd
0.667 0.333 0.416 Pd
0.333 0.667 0.584 Pd
0.333 0.667 0.916 Pd
0.000 0.000 0.000 Sb
0.000 0.000 0.500 Sb



3.
MgSbPd2 (GGA-PBE, optimized geometry); energy relative to the lowest polymorph listed for this composition = 0.081 eV/atom; total DFT energy (no corrections) = -4.538 eV/atom; space group = P4/mmm (123)
1.0
-2.802 1.414 -1.174
-1.633 -2.898 0.408
-1.591 1.724 5.872
Mg Pd Sb
1 2 1
direct
0.000 0.000 0.500 Mg
0.500 0.500 0.260 Pd
0.500 0.500 0.740 Pd
0.000 0.000 0.000 Sb



4.
Mg2Sb2Pd3 (GGA-PBE, optimized geometry); total DFT energy (no corrections) = -4.451 eV/atom; space group = R3m (160)
1.0
2.281 1.317 7.394
-2.281 1.317 7.394
0.000 -2.634 7.394
Mg Pd Sb
2 3 2
direct
0.246 0.246 0.246 Mg
0.756 0.756 0.756 Mg
0.124 0.124 0.124 Pd
0.374 0.374 0.374 Pd
0.626 0.626 0.626 Pd
0.502 0.502 0.502 Sb
0.997 0.997 0.997 Sb



5.
MgSbPd2 (GGA-PBE, optimized geometry); energy relative to the lowest polymorph listed for this composition = 0.300 eV/atom; total DFT energy (no corrections) = -4.319 eV/atom; space group = P6_3/mmc (194)
1.0
2.366 -4.098 0.000
2.366 4.098 0.000
0.000 0.000 7.917
Mg Pd Sb
2 4 2
direct
0.000 0.000 0.250 Mg
0.000 0.000 0.750 Mg
0.333 0.667 0.080 Pd
0.333 0.667 0.420 Pd
0.667 0.333 0.580 Pd
0.667 0.333 0.920 Pd
0.667 0.333 0.250 Sb
0.333 0.667 0.750 Sb



6.
Mg2SbPd (GGA-PBE, optimized geometry); total DFT energy (no corrections) = -3.361 eV/atom; space group = F-43m (216)
1.0
0.652 -3.854 2.828
-3.253 -3.562 0.011
1.093 -4.272 -1.958
Mg Pd Sb
2 1 1
direct
0.000 0.000 0.000 Mg
0.750 0.750 0.750 Mg
0.250 0.250 0.250 Pd
0.500 0.500 0.500 Sb



7.
MgSbPd2 (GGA-PBE, optimized geometry); energy relative to the lowest polymorph listed for this composition = 0.000 eV/atom; total DFT energy (no corrections) = -4.619 eV/atom; space group = R-3m (166)
1.0
4.610 0.000 0.000
-2.305 3.993 0.000
0.000 0.000 11.338
Mg Pd Sb
3 6 3
direct
0.333 0.667 0.167 Mg
0.000 0.000 0.500 Mg
0.667 0.333 0.833 Mg
0.667 0.333 0.084 Pd
0.000 0.000 0.249 Pd
0.333 0.667 0.417 Pd
0.667 0.333 0.583 Pd
0.000 0.000 0.751 Pd
0.333 0.667 0.916 Pd
0.000 0.000 0.000 Sb
0.667 0.333 0.333 Sb
0.333 0.667 0.667 Sb



8.
MgSbPd (GGA-PBE, optimized geometry); total DFT energy (no corrections) = -4.055 eV/atom; space group = P-62m (189)
1.0
-1.165 1.606 -6.716
-1.875 -6.277 2.475
-3.856 1.563 1.042
Mg Pd Sb
3 3 3
direct
0.562 0.000 0.500 Mg
0.438 0.438 0.500 Mg
0.000 0.562 0.500 Mg
0.244 0.000 0.000 Pd
0.000 0.244 0.000 Pd
0.756 0.756 0.000 Pd
0.667 0.333 0.000 Sb
0.333 0.667 0.000 Sb
0.000 0.000 0.500 Sb